A plane-wave DFT calculation with GGA-PBE was carried out for a relaxed structure of Dy4PuN5.

Cell: 6.0086 6.0086 6.0086 Å, 99.59 99.59 131.83°
Sites, in units of the cell vectors:
Dy: 0.0999 0.3009 0.4009
Dy: 0.3009 0.9001 0.2010
Dy: 0.6991 0.0999 0.7990
Dy: 0.9001 0.6991 0.5991
Pu: 0.5000 0.5000 0.0000
N: 0.0000 0.0000 0.0000
N: 0.2065 0.5963 0.8028
N: 0.4037 0.2065 0.6102
N: 0.5963 0.7935 0.3898
N: 0.7935 0.4037 0.1972

Summary:
SG: I4/m, No. 87
VASP energy, eV per atom: -9.04
DOS(E_F), states/eV per atom: 0.81
Raw formation energy, meV/atom: -1604

=====

A plane-wave DFT calculation with GGA-PBE was carried out for a relaxed structure of Dy3Pu4N8.

Cell: 6.9155 6.9155 6.8986 Å, 119.74 119.74 90.34°
Sites, in units of the cell vectors:
Dy: 0.0000 0.0000 0.0000
Dy: 0.0000 0.5000 0.0000
Dy: 0.5000 0.0000 0.0000
Pu: 0.0000 0.0000 0.5000
Pu: 0.0000 0.5000 0.5000
Pu: 0.5000 0.0000 0.5000
Pu: 0.5000 0.5000 0.0000
N: 0.2251 0.7749 0.5000
N: 0.2301 0.2301 0.5051
N: 0.2297 0.2297 0.9466
N: 0.2498 0.7502 0.0000
N: 0.7502 0.2498 0.0000
N: 0.7703 0.7703 0.0534
N: 0.7699 0.7699 0.4949
N: 0.7749 0.2251 0.5000

Summary:
SG: C2/m, No. 12
VASP energy, eV per atom: -10.45
DOS(E_F), states/eV per atom: 1.75
Raw formation energy, meV/atom: -1272

=====

A plane-wave DFT calculation with GGA-PBE was carried out for a relaxed structure of DyPu4N5.

Cell: 9.2139 9.2139 9.2139 Å, 158.19 148.96 38.25°
Sites, in units of the cell vectors:
Dy: 0.0000 0.0000 0.0000
Pu: 0.2000 0.2000 0.0000
Pu: 0.4008 0.4008 0.0000
Pu: 0.5992 0.5992 0.0000
Pu: 0.8000 0.8000 0.0000
N: 0.1024 0.6024 0.5000
N: 0.3020 0.8020 0.5000
N: 0.5000 0.0000 0.5000
N: 0.6980 0.1980 0.5000
N: 0.8976 0.3976 0.5000

Summary:
SG: Immm, No. 71
VASP energy, eV per atom: -11.70
DOS(E_F), states/eV per atom: 2.25
Raw formation energy, meV/atom: -1342

=====

A plane-wave DFT calculation with GGA-PBE was carried out for a relaxed structure of Dy2PuN.

Cell: 3.1058 3.1058 8.7068 Å, 90.00 90.00 90.00°
Sites, in units of the cell vectors:
Dy: 0.0000 0.0000 0.1636
Dy: 0.0000 0.0000 0.8364
Pu: 0.5000 0.5000 0.5000
N: 0.5000 0.5000 0.0000

Summary:
SG: P4/mmm, No. 123
VASP energy, eV per atom: -8.13
DOS(E_F), states/eV per atom: 1.90
Relative energy among the computed polymorphs, eV/atom: 0.417
Raw formation energy, meV/atom: -164

=====

A plane-wave DFT calculation with GGA-PBE was carried out for a relaxed structure of DyPu2N4.

Cell: 5.8922 5.8922 10.4183 Å, 90.00 90.00 146.68°
Sites, in units of the cell vectors:
Dy: 0.1073 0.8927 0.7500
Dy: 0.8927 0.1073 0.2500
Pu: 0.3685 0.6315 0.5707
Pu: 0.3685 0.6315 0.9293
Pu: 0.6315 0.3685 0.0707
Pu: 0.6315 0.3685 0.4293
N: 0.0000 0.0000 0.0000
N: 0.0000 0.0000 0.5000
N: 0.2733 0.7267 0.1081
N: 0.2733 0.7267 0.3919
N: 0.4648 0.5352 0.7500
N: 0.5352 0.4648 0.2500
N: 0.7267 0.2733 0.6081
N: 0.7267 0.2733 0.8919

Summary:
SG: Cmcm, No. 63
VASP energy, eV per atom: -10.73
DOS(E_F), states/eV per atom: 1.56
Relative energy among the computed polymorphs, eV/atom: 0.000
Raw formation energy, meV/atom: -1224

=====

A plane-wave DFT calculation with GGA-PBE was carried out for a relaxed structure of Dy2PuN.

Cell: 9.6702 9.6702 9.6702 Å, 20.30 20.30 20.30°
Sites, in units of the cell vectors:
Dy: 0.1190 0.1190 0.1190
Dy: 0.8810 0.8810 0.8810
Pu: 0.0000 0.0000 0.0000
N: 0.5000 0.5000 0.5000

Summary:
SG: R-3m, No. 166
VASP energy, eV per atom: -8.55
DOS(E_F), states/eV per atom: 2.46
Relative energy among the computed polymorphs, eV/atom: 0.000
Raw formation energy, meV/atom: -581

=====

A plane-wave DFT calculation with GGA-PBE was carried out for a relaxed structure of Dy2PuRhN4.

Cell: 6.0082 6.0082 11.6040 Å, 90.00 90.00 147.73°
Sites, in units of the cell vectors:
Dy: 0.1292 0.8708 0.5485
Dy: 0.1292 0.8708 0.9515
Dy: 0.8708 0.1292 0.0485
Dy: 0.8708 0.1292 0.4515
Pu: 0.3822 0.6178 0.7500
Pu: 0.6178 0.3822 0.2500
Rh: 0.3562 0.6438 0.2500
Rh: 0.6438 0.3562 0.7500
N: 0.0313 0.9687 0.7500
N: 0.2215 0.7785 0.1318
N: 0.2215 0.7785 0.3682
N: 0.5000 0.5000 0.0000
N: 0.5000 0.5000 0.5000
N: 0.7785 0.2215 0.6318
N: 0.7785 0.2215 0.8682
N: 0.9687 0.0313 0.2500

Summary:
SG: Cmcm, No. 63
VASP energy, eV per atom: -8.97
DOS(E_F), states/eV per atom: 0.76
Raw formation energy, meV/atom: -948

=====

A plane-wave DFT calculation with GGA-PBE was carried out for a relaxed structure of DyPu2RhN4.

Cell: 5.9517 5.9517 11.6717 Å, 90.00 90.00 147.13°
Sites, in units of the cell vectors:
Dy: 0.1140 0.8860 0.7500
Dy: 0.8860 0.1140 0.2500
Pu: 0.3709 0.6291 0.5548
Pu: 0.3709 0.6291 0.9452
Pu: 0.6291 0.3709 0.0548
Pu: 0.6291 0.3709 0.4452
Rh: 0.1476 0.8524 0.2500
Rh: 0.8524 0.1476 0.7500
N: 0.0000 0.0000 0.0000
N: 0.0000 0.0000 0.5000
N: 0.2716 0.7284 0.1115
N: 0.2716 0.7284 0.3885
N: 0.4634 0.5366 0.7500
N: 0.5366 0.4634 0.2500
N: 0.7284 0.2716 0.6115
N: 0.7284 0.2716 0.8885

Summary:
SG: Cmcm, No. 63
VASP energy, eV per atom: -10.16
DOS(E_F), states/eV per atom: 1.67
Raw formation energy, meV/atom: -919

=====

A plane-wave DFT calculation with GGA-PBE was carried out for a relaxed structure of DyPu2RuN4.

Cell: 6.0185 6.0185 11.5478 Å, 90.00 90.00 147.82°
Sites, in units of the cell vectors:
Dy: 0.1163 0.8837 0.7500
Dy: 0.8837 0.1163 0.2500
Pu: 0.3691 0.6309 0.5508
Pu: 0.3691 0.6309 0.9492
Pu: 0.6309 0.3691 0.0508
Pu: 0.6309 0.3691 0.4492
Ru: 0.1443 0.8557 0.2500
Ru: 0.8557 0.1443 0.7500
N: 0.0000 0.0000 0.0000
N: 0.0000 0.0000 0.5000
N: 0.2717 0.7283 0.1222
N: 0.2717 0.7283 0.3778
N: 0.4640 0.5360 0.7500
N: 0.5360 0.4640 0.2500
N: 0.7283 0.2717 0.6222
N: 0.7283 0.2717 0.8778

Summary:
SG: Cmcm, No. 63
VASP energy, eV per atom: -10.41
DOS(E_F), states/eV per atom: 1.44
Raw formation energy, meV/atom: -930

=====

A plane-wave DFT calculation with GGA-PBE was carried out for a relaxed structure of DyPuS2N.

Cell: 3.8213 3.8213 13.7668 Å, 90.00 90.00 90.00°
Sites, in units of the cell vectors:
Dy: 0.2500 0.2500 0.1227
Dy: 0.7500 0.7500 0.8773
Pu: 0.2500 0.2500 0.5845
Pu: 0.7500 0.7500 0.4155
S: 0.2500 0.2500 0.3096
S: 0.2500 0.2500 0.9082
S: 0.7500 0.7500 0.0918
S: 0.7500 0.7500 0.6904
N: 0.2500 0.7500 0.5000
N: 0.7500 0.2500 0.5000

Summary:
SG: P4/nmm, No. 129
VASP energy, eV per atom: -8.79
DOS(E_F), states/eV per atom: 1.15
Raw formation energy, meV/atom: -1690

=====

A plane-wave DFT calculation with GGA-PBE was carried out for a relaxed structure of DyPuSbN.

Cell: 4.5452 4.5452 8.8400 Å, 90.00 90.00 90.00°
Sites, in units of the cell vectors:
Dy: 0.2500 0.7500 0.0000
Dy: 0.7500 0.2500 0.0000
Pu: 0.2500 0.2500 0.3279
Pu: 0.7500 0.7500 0.6721
Sb: 0.2500 0.2500 0.6948
Sb: 0.7500 0.7500 0.3052
N: 0.2500 0.2500 0.0839
N: 0.7500 0.7500 0.9161

Summary:
SG: P4/nmm, No. 129
VASP energy, eV per atom: -9.00
DOS(E_F), states/eV per atom: 2.61
Raw formation energy, meV/atom: -1157

=====

A plane-wave DFT calculation with GGA-PBE was carried out for a relaxed structure of DyPuSe2N.

Cell: 3.9281 3.9281 14.4783 Å, 90.00 90.00 90.00°
Sites, in units of the cell vectors:
Dy: 0.2500 0.2500 0.1270
Dy: 0.7500 0.7500 0.8730
Pu: 0.2500 0.2500 0.5769
Pu: 0.7500 0.7500 0.4231
Se: 0.2500 0.2500 0.3128
Se: 0.2500 0.2500 0.9111
Se: 0.7500 0.7500 0.0889
Se: 0.7500 0.7500 0.6872
N: 0.2500 0.7500 0.5000
N: 0.7500 0.2500 0.5000

Summary:
SG: P4/nmm, No. 129
VASP energy, eV per atom: -8.41
DOS(E_F), states/eV per atom: 1.14
Raw formation energy, meV/atom: -1560